No. 1
# TbAgHgBi | Alexandria via LeMat-Bulk | PBE-GGA | relaxed
# Formation energy in eV/atom: -0.26
# Fermi-level density of states in states/eV/atom: 1.0719
data_TbAgHgBi
_chemical_formula_sum 'Tb4 Ag4 Hg4 Bi4'
_space_group_name_H-M_alt 'F -4 3 m'
_space_group_IT_number 216
_space_group_name_Hall 'F -4 2 3'
_cell_length_a 7.410
_cell_length_b 7.410
_cell_length_c 7.410
_cell_angle_alpha 90.00
_cell_angle_beta 90.00
_cell_angle_gamma 90.00
loop_
_atom_site_label
_atom_site_type_symbol
_atom_site_fract_x
_atom_site_fract_y
_atom_site_fract_z
_atom_site_occupancy
Tb1 Tb 0.000 0.000 0.000 1
Ag1 Ag 0.000 0.000 0.500 1
Hg1 Hg 0.250 0.250 0.750 1
Bi1 Bi 0.250 0.250 0.250 1

No. 2
# AgHg2BiTe | Alexandria via LeMat-Bulk | PBE-GGA | relaxed
# Raw total energy in eV/atom: -1.65
# Fermi-level density of states in states/eV/atom: 1.5409
data_AgHg2BiTe
_chemical_formula_sum 'Ag1 Hg2 Bi1 Te1'
_space_group_name_H-M_alt 'P 4/m m m'
_space_group_IT_number 123
_space_group_name_Hall '-P 4 2'
_cell_length_a 5.768
_cell_length_b 5.768
_cell_length_c 5.404
_cell_angle_alpha 90.00
_cell_angle_beta 90.00
_cell_angle_gamma 90.00
loop_
_atom_site_label
_atom_site_type_symbol
_atom_site_fract_x
_atom_site_fract_y
_atom_site_fract_z
_atom_site_occupancy
Ag1 Ag 0.000 0.000 0.000 1
Hg1 Hg 0.000 0.500 0.500 1
Bi1 Bi 0.000 0.000 0.500 1
Te1 Te 0.500 0.500 0.000 1

No. 3
# TlAgHg2Bi | Alexandria via LeMat-Bulk | PBE-GGA | relaxed
# Formation energy in eV/atom: 0.60
# Fermi-level density of states in states/eV/atom: 0.8233
data_TlAgHg2Bi
_chemical_formula_sum 'Tl1 Ag1 Hg2 Bi1'
_space_group_name_H-M_alt 'P 4/m m m'
_space_group_IT_number 123
_space_group_name_Hall '-P 4 2'
_cell_length_a 5.610
_cell_length_b 5.610
_cell_length_c 6.062
_cell_angle_alpha 90.00
_cell_angle_beta 90.00
_cell_angle_gamma 90.00
loop_
_atom_site_label
_atom_site_type_symbol
_atom_site_fract_x
_atom_site_fract_y
_atom_site_fract_z
_atom_site_occupancy
Tl1 Tl 0.000 0.000 0.000 1
Ag1 Ag 0.500 0.500 0.500 1
Hg1 Hg 0.000 0.500 0.000 1
Bi1 Bi 0.000 0.000 0.500 1

No. 4
# TmAgHgBi | Alexandria via LeMat-Bulk | PBE-GGA | relaxed
# Formation energy in eV/atom: -0.21
# Fermi-level density of states in states/eV/atom: 1.0929
data_TmAgHgBi
_chemical_formula_sum 'Tm4 Ag4 Hg4 Bi4'
_space_group_name_H-M_alt 'F -4 3 m'
_space_group_IT_number 216
_space_group_name_Hall 'F -4 2 3'
_cell_length_a 7.362
_cell_length_b 7.362
_cell_length_c 7.362
_cell_angle_alpha 90.00
_cell_angle_beta 90.00
_cell_angle_gamma 90.00
loop_
_atom_site_label
_atom_site_type_symbol
_atom_site_fract_x
_atom_site_fract_y
_atom_site_fract_z
_atom_site_occupancy
Tm1 Tm 0.000 0.000 0.000 1
Ag1 Ag 0.000 0.000 0.500 1
Hg1 Hg 0.250 0.250 0.750 1
Bi1 Bi 0.250 0.250 0.250 1

Copy entry 3 word for word.
# TlAgHg2Bi | Alexandria via LeMat-Bulk | PBE-GGA | relaxed
# Formation energy in eV/atom: 0.60
# Fermi-level density of states in states/eV/atom: 0.8233
data_TlAgHg2Bi
_chemical_formula_sum 'Tl1 Ag1 Hg2 Bi1'
_space_group_name_H-M_alt 'P 4/m m m'
_space_group_IT_number 123
_space_group_name_Hall '-P 4 2'
_cell_length_a 5.610
_cell_length_b 5.610
_cell_length_c 6.062
_cell_angle_alpha 90.00
_cell_angle_beta 90.00
_cell_angle_gamma 90.00
loop_
_atom_site_label
_atom_site_type_symbol
_atom_site_fract_x
_atom_site_fract_y
_atom_site_fract_z
_atom_site_occupancy
Tl1 Tl 0.000 0.000 0.000 1
Ag1 Ag 0.500 0.500 0.500 1
Hg1 Hg 0.000 0.500 0.000 1
Bi1 Bi 0.000 0.000 0.500 1